HoInH8Ir2: optimized geometry, PBE.

Lattice parameters (Å, degrees): 4.876 4.876 6.111 103.24 103.24 51.51
Fractional coordinates of all 12 atoms:
Ho: 0.000 0.000 0.000
In: 0.500 0.500 0.500
H: 0.083 0.561 0.178
H: 0.172 0.172 0.391
H: 0.414 0.414 0.894
H: 0.439 0.917 0.822
H: 0.561 0.083 0.178
H: 0.586 0.586 0.106
H: 0.828 0.828 0.609
H: 0.917 0.439 0.822
Ir: 0.250 0.250 0.678
Ir: 0.750 0.750 0.322

Properties
total magnetic moment: 0.00 μB per formula unit

=====

RbTa3Cd: optimized geometry, PBE.

Lattice parameters (Å, degrees): 5.219 5.219 5.219 90.00 90.00 90.00
Fractional coordinates of all 5 atoms:
Rb: 0.000 0.000 0.000
Ta: 0.000 0.500 0.500
Ta: 0.500 0.000 0.500
Ta: 0.500 0.500 0.000
Cd: 0.500 0.500 0.500

Properties
formation energy: 2.483 eV per atom
total magnetic moment: 2.63 μB per formula unit

=====

PrBe17Rh: optimized geometry, PBE.

Lattice parameters (Å, degrees): 5.726 5.726 5.726 83.58 83.58 83.58
Fractional coordinates of all 19 atoms:
Pr: 0.000 0.000 0.000
Be: 0.001 0.001 0.506
Be: 0.001 0.506 0.001
Be: 0.058 0.361 0.635
Be: 0.058 0.635 0.361
Be: 0.229 0.685 0.685
Be: 0.256 0.256 0.256
Be: 0.343 0.343 0.858
Be: 0.343 0.858 0.343
Be: 0.361 0.058 0.635
Be: 0.361 0.635 0.058
Be: 0.448 0.448 0.448
Be: 0.506 0.001 0.001
Be: 0.635 0.058 0.361
Be: 0.635 0.361 0.058
Be: 0.685 0.229 0.685
Be: 0.685 0.685 0.229
Be: 0.858 0.343 0.343
Rh: 0.669 0.669 0.669

Properties
formation energy: -0.052 eV per atom
total magnetic moment: 0.00 μB per formula unit

=====

BaZr2Al: optimized geometry, PBE.

Lattice parameters (Å, degrees): 3.198 3.198 10.119 90.00 90.00 90.00
Fractional coordinates of all 4 atoms:
Ba: 0.000 0.000 0.000
Zr: 0.500 0.500 0.311
Zr: 0.500 0.500 0.689
Al: 0.000 0.000 0.500

Properties
formation energy: 0.140 eV per atom
total magnetic moment: 0.00 μB per formula unit

=====

SbPd5: optimized geometry, PBE.

Lattice parameters (Å, degrees): 6.121 6.121 4.073 90.00 90.00 140.50
Fractional coordinates of all 6 atoms:
Sb: 0.000 0.000 0.000
Pd: 0.166 0.834 0.500
Pd: 0.334 0.666 0.000
Pd: 0.500 0.500 0.500
Pd: 0.666 0.334 0.000
Pd: 0.834 0.166 0.500

Properties
total magnetic moment: 0.00 μB per formula unit
uncorrected formation energy: -0.29 eV per atom

=====

Ag5As2F12: optimized geometry, PBE.

Lattice parameters (Å, degrees): 7.066 7.066 8.103 105.27 105.27 55.24
Fractional coordinates of all 19 atoms:
Ag: 0.000 0.000 0.000
Ag: 0.297 0.297 0.115
Ag: 0.303 0.303 0.757
Ag: 0.697 0.697 0.243
Ag: 0.703 0.703 0.885
As: 0.248 0.752 0.500
As: 0.752 0.248 0.500
F: 0.025 0.025 0.350
F: 0.091 0.586 0.373
F: 0.100 0.638 0.961
F: 0.362 0.900 0.039
F: 0.414 0.909 0.627
F: 0.477 0.477 0.663
F: 0.523 0.523 0.337
F: 0.586 0.091 0.373
F: 0.638 0.100 0.961
F: 0.900 0.362 0.039
F: 0.909 0.414 0.627
F: 0.975 0.975 0.650

Properties
total magnetic moment: 0.52 μB per formula unit
uncorrected formation energy: -1.41 eV per atom

=====

CdInCu2S4: optimized geometry, PBE.

Lattice parameters (Å, degrees): 6.827 6.827 6.827 131.68 131.68 70.74
Fractional coordinates of all 8 atoms:
Cd: 0.000 0.000 0.000
In: 0.500 0.500 0.000
Cu: 0.250 0.750 0.500
Cu: 0.750 0.250 0.500
S: 0.113 0.605 0.000
S: 0.395 0.395 0.508
S: 0.605 0.113 0.000
S: 0.887 0.887 0.492

Properties
total magnetic moment: 0.00 μB per formula unit
uncorrected formation energy: -0.43 eV per atom

=====

Ta2FeIr: optimized geometry, PBE.

Lattice parameters (Å, degrees): 3.015 4.209 5.163 90.00 106.15 90.00
Fractional coordinates of all 4 atoms:
Ta: 0.000 0.000 0.000
Ta: 0.288 0.500 0.600
Fe: 0.544 0.500 0.089
Ir: 0.719 0.000 0.455

Properties
formation energy: -0.310 eV per atom
total magnetic moment: 0.00 μB per formula unit

=====

ErNiHg: optimized geometry, PBE.

Lattice parameters (Å, degrees): 4.521 4.521 4.521 60.00 60.00 60.00
Fractional coordinates of all 3 atoms:
Er: 0.000 0.000 0.000
Ni: 0.750 0.750 0.750
Hg: 0.500 0.500 0.500

Properties
formation energy: -0.293 eV per atom
total magnetic moment: 0.00 μB per formula unit

=====

ZrNbAs2: optimized geometry, PBE.

Lattice parameters (Å, degrees): 7.353 7.353 7.353 132.76 132.76 69.03
Fractional coordinates of all 8 atoms:
Zr: 0.000 0.000 0.000
Zr: 0.750 0.250 0.500
Nb: 0.250 0.750 0.500
Nb: 0.500 0.500 0.000
As: 0.141 0.625 0.016
As: 0.375 0.391 0.516
As: 0.609 0.125 0.984
As: 0.875 0.859 0.484

Properties
formation energy: -0.072 eV per atom
total magnetic moment: 0.57 μB per formula unit

=====

DyAsPd: optimized geometry, PBE.

Lattice parameters (Å, degrees): 7.064 4.148 7.957 90.00 90.00 90.00
Fractional coordinates of all 12 atoms:
Dy: 0.030 0.250 0.191
Dy: 0.470 0.750 0.691
Dy: 0.530 0.250 0.309
Dy: 0.970 0.750 0.809
As: 0.250 0.250 0.879
As: 0.250 0.750 0.379
As: 0.750 0.250 0.621
As: 0.750 0.750 0.121
Pd: 0.144 0.250 0.562
Pd: 0.356 0.750 0.062
Pd: 0.644 0.250 0.938
Pd: 0.856 0.750 0.438

Properties
formation energy: -1.194 eV per atom
total magnetic moment: 0.00 μB per formula unit

=====

KNi2Ir: optimized geometry, PBE.

Lattice parameters (Å, degrees): 2.578 4.767 5.313 90.00 90.00 90.00
Fractional coordinates of all 4 atoms:
K: 0.000 0.000 0.000
Ni: 0.000 0.500 0.500
Ni: 0.500 0.500 0.000
Ir: 0.500 0.000 0.500

Properties
formation energy: 1.052 eV per atom
total magnetic moment: 1.07 μB per formula unit

=====

no.,D(E_F) (states/eV per cell),calculated total energy (eV/atom),mass density (g/cm3)
1,1.08,-4.461,10.15
2,6.59,-5.005,8.65
3,5.31,-4.025,3.57
4,4.33,-5.550,5.56
5,4.65,-5.303,11.19
6,3.34,-3.832,4.80
7,6.74,-3.977,4.61
8,3.53,-10.568,16.09
9,1.76,-3.841,10.84
10,7.23,-7.052,5.27
11,0.00,-6.009,9.80
12,8.23,-4.329,8.87